Record 1
This record from Alexandria describes a relaxed structure of ThNiAs. The functional is PBE-GGA.

Cell lengths 3.9865, 3.9865, 4.9808 Å; angles 113.59, 113.59, 90.00 degrees
Element x y z (fractional)
Ni  0.2608  0.2608  0.5216
As  0.9719  0.9719  0.9439
Th  0.6172  0.6172  0.2345

---

Record 2
This record from Alexandria describes a relaxed structure of ThNi5As2. The functional is PBE-GGA.

Cell lengths 3.8713, 6.0150, 6.0150 Å; angles 65.52, 71.23, 71.23 degrees
Element x y z (fractional)
Th  0.0000  0.0000  0.0000
Ni  0.0000  0.5000  0.5000
Ni  0.6363  0.5516  0.1758
Ni  0.3637  0.4484  0.8242
Ni  0.3637  0.8242  0.4484
Ni  0.6363  0.1758  0.5516
As  0.7567  0.7433  0.7433
As  0.2433  0.2567  0.2567

---

Record 3
This record from Alexandria describes a relaxed structure of Th2NiAs. The functional is PBE-GGA.

Cell lengths 3.8265, 3.8265, 9.1828 Å; angles 77.97, 77.97, 60.00 degrees
Element x y z (fractional)
Ni  0.0000  0.0000  0.0000
As  0.5000  0.5000  0.5000
Th  0.0950  0.0950  0.7150
Th  0.9050  0.9050  0.2850

---

Record 4
This record from Alexandria describes a relaxed structure of Th2TiNi4As3. The functional is PBE-GGA.

Cell lengths 4.1195, 4.1195, 9.9381 Å; angles 90.00, 90.00, 90.00 degrees
Element x y z (fractional)
Th  0.5000  0.0000  0.2382
Th  0.0000  0.5000  0.7618
Ti  0.5000  0.5000  0.5000
Ni  0.5000  0.5000  0.0000
Ni  0.0000  0.0000  0.0000
Ni  0.5000  0.0000  0.6331
Ni  0.0000  0.5000  0.3669
As  0.0000  0.0000  0.5000
As  0.5000  0.0000  0.8727
As  0.0000  0.5000  0.1273

---

Record 5
This record from Alexandria describes a relaxed structure of Th2TiNi3As4. The functional is PBE-GGA.

Cell lengths 4.1753, 4.1753, 10.1550 Å; angles 90.00, 90.00, 90.00 degrees
Element x y z (fractional)
Th  0.5000  0.0000  0.2385
Th  0.0000  0.5000  0.7615
Ti  0.5000  0.5000  0.5000
Ni  0.0000  0.0000  0.5000
Ni  0.5000  0.0000  0.8821
Ni  0.0000  0.5000  0.1179
As  0.5000  0.5000  0.0000
As  0.0000  0.0000  0.0000
As  0.5000  0.0000  0.6456
As  0.0000  0.5000  0.3544

---

Record 6
This record from Alexandria describes a relaxed structure of ThZrNi2As2. The functional is PBE-GGA.

Cell lengths 4.0198, 4.0198, 7.7272 Å; angles 90.00, 90.00, 120.00 degrees
Element x y z (fractional)
Th  0.0000  0.0000  0.0000
Zr  0.0000  0.0000  0.5000
Ni  0.6667  0.3333  0.2743
Ni  0.3333  0.6667  0.7257
As  0.6667  0.3333  0.7342
As  0.3333  0.6667  0.2658

---

| no. | E_tot (eV/atom) | formation energy from the elements (meV/atom) |
| --- | --- | --- |
| 1 | -6.426 | -476 |
| 2 | -6.208 | -505 |
| 3 | -6.327 | -9 |
| 4 | -6.773 | -792 |
| 5 | -6.664 | -796 |
| 6 | -7.082 | -944 |